{
  "formula": "K2NaCr",
  "functional": "meta-GGA SCAN",
  "state": "PBEsol geometry",
  "ef_ev_per_atom": 0.474,
  "total_energy_ev_per_atom": -9.3398,
  "lattice": [[0.000, 4.352, 4.352], [4.352, 0.000, 4.352], [4.352, 4.352, 0.000]],
  "species": ["K", "K", "Na", "Cr"],
  "fractional_positions": [[0.250, 0.250, 0.250], [0.750, 0.750, 0.750], [0.000, 0.000, 0.000], [0.500, 0.500, 0.500]]
}

=====

{
  "formula": "AlNi3Cl",
  "functional": "meta-GGA SCAN",
  "state": "PBEsol geometry",
  "formation_energy_uncorrected_ev_per_atom": 0.589,
  "total_energy_ev_per_atom": -12.2610,
  "lattice": [[4.121, 0.000, 0.000], [0.000, 4.121, 0.000], [0.000, 0.000, 4.121]],
  "species": ["Al", "Ni", "Ni", "Ni", "Cl"],
  "fractional_positions": [[0.000, 0.000, 0.000], [0.000, 0.500, 0.500], [0.500, 0.000, 0.500], [0.500, 0.500, 0.000], [0.500, 0.500, 0.500]]
}

=====

{
  "formula": "LiTl",
  "functional": "meta-GGA SCAN",
  "state": "PBEsol geometry",
  "ef_ev_per_atom": -0.236,
  "total_energy_ev_per_atom": -37.6103,
  "lattice": [[3.283, 0.000, 0.000], [0.000, 5.038, 0.000], [0.000, 0.000, 5.183]],
  "species": ["Li", "Li", "Tl", "Tl"],
  "fractional_positions": [[0.250, 0.250, 0.108], [0.750, 0.750, 0.892], [0.250, 0.750, 0.365], [0.750, 0.250, 0.635]]
}

=====

{
  "formula": "MgPb3",
  "functional": "meta-GGA SCAN",
  "state": "PBEsol geometry",
  "ef_ev_per_atom": -0.039,
  "total_energy_ev_per_atom": -58.1184,
  "lattice": [[1.718, 0.992, 10.965], [-1.718, 0.992, 10.965], [0.000, -1.984, 10.965]],
  "species": ["Mg", "Pb", "Pb", "Pb"],
  "fractional_positions": [[0.000, 0.000, 0.000], [0.255, 0.255, 0.255], [0.500, 0.500, 0.500], [0.745, 0.745, 0.745]]
}

=====

{
  "formula": "BeNb3Ir",
  "functional": "meta-GGA SCAN",
  "state": "PBEsol geometry",
  "ef_ev_per_atom": 0.416,
  "total_energy_ev_per_atom": -34.5519,
  "lattice": [[4.312, 0.000, 0.000], [0.000, 4.312, 0.000], [0.000, 0.000, 4.312]],
  "species": ["Be", "Nb", "Nb", "Nb", "Ir"],
  "fractional_positions": [[0.000, 0.000, 0.000], [0.000, 0.000, 0.500], [0.000, 0.500, 0.000], [0.500, 0.000, 0.000], [0.500, 0.500, 0.500]]
}

=====

{
  "formula": "Si3TcBi",
  "functional": "meta-GGA SCAN",
  "state": "PBEsol geometry",
  "formation_energy_uncorrected_ev_per_atom": 0.604,
  "total_energy_ev_per_atom": -28.1336,
  "lattice": [[4.689, 0.000, 0.000], [0.000, 4.689, 0.000], [0.000, 0.000, 4.689]],
  "species": ["Si", "Si", "Si", "Tc", "Bi"],
  "fractional_positions": [[0.000, 0.000, 0.500], [0.000, 0.500, 0.000], [0.500, 0.000, 0.000], [0.000, 0.000, 0.000], [0.500, 0.500, 0.500]]
}